Arrangement a

! FeNiPb2 PBE-GGA optimized geometry; values from VASP
&SYSTEM
  ibrav = 0, nat = 4, ntyp = 3
/
ATOMIC_SPECIES
Fe 55.84 Fe.upf
Ni 58.69 Ni.upf
Pb 207.20 Pb.upf
CELL_PARAMETERS angstrom
2.2225 -2.5849 0.0000
2.2225 2.5849 0.0000
0.0000 0.0000 6.7487
ATOMIC_POSITIONS crystal
Fe 0.0000 0.0000 0.0000
Ni 0.0000 0.0000 0.5000
Pb 0.5000 0.5000 0.2561
Pb 0.5000 0.5000 0.7439
! Spin magnetization   2.7 μB/cell

Arrangement b

! FeNiPb2 PBE-GGA optimized geometry; values from VASP
&SYSTEM
  ibrav = 0, nat = 4, ntyp = 3
/
ATOMIC_SPECIES
Fe 55.84 Fe.upf
Ni 58.69 Ni.upf
Pb 207.20 Pb.upf
CELL_PARAMETERS angstrom
1.6620 0.9596 8.2765
-1.6620 0.9596 8.2765
0.0000 -1.9191 8.2765
ATOMIC_POSITIONS crystal
Fe 0.0000 0.0000 0.0000
Ni 0.5000 0.5000 0.5000
Pb 0.2462 0.2462 0.2462
Pb 0.7538 0.7538 0.7538
! Spin magnetization   3.0 μB/cell

Of them, arrangement a has the highest stability.

Arrangement a

! FeNiPb2 PBE-GGA optimized geometry; values from VASP
&SYSTEM
  ibrav = 0, nat = 4, ntyp = 3
/
ATOMIC_SPECIES
Fe 55.84 Fe.upf
Ni 58.69 Ni.upf
Pb 207.20 Pb.upf
CELL_PARAMETERS angstrom
4.2146 -1.6351 0.0000
4.2146 1.6351 0.0000
-1.4722 0.0000 5.7712
ATOMIC_POSITIONS crystal
Fe 0.0000 0.0000 0.0000
Ni 0.5000 0.5000 0.5000
Pb 0.2439 0.2439 0.7431
Pb 0.7561 0.7561 0.2569
! Spin magnetization   2.9 μB/cell

Arrangement b

! FeNiPb2 PBE-GGA optimized geometry; values from VASP
&SYSTEM
  ibrav = 0, nat = 4, ntyp = 3
/
ATOMIC_SPECIES
Fe 55.84 Fe.upf
Ni 58.69 Ni.upf
Pb 207.20 Pb.upf
CELL_PARAMETERS angstrom
3.2232 0.0000 0.0000
0.0000 3.2232 0.0000
0.0000 0.0000 8.1346
ATOMIC_POSITIONS crystal
Fe 0.0000 0.0000 0.0000
Ni 0.5000 0.5000 0.1226
Pb 0.0000 0.0000 0.3587
Pb 0.5000 0.5000 0.7581
! Spin magnetization   3.4 μB/cell

Arrangement c

! FeNiPb2 PBE-GGA optimized geometry; values from VASP
&SYSTEM
  ibrav = 0, nat = 4, ntyp = 3
/
ATOMIC_SPECIES
Fe 55.84 Fe.upf
Ni 58.69 Ni.upf
Pb 207.20 Pb.upf
CELL_PARAMETERS angstrom
3.3874 0.0000 0.0000
0.0000 3.3900 0.0000
-0.7048 0.0000 6.6863
ATOMIC_POSITIONS crystal
Fe 0.0000 0.0000 0.0000
Ni 0.0000 0.0000 0.5000
Pb 0.4881 0.5000 0.7464
Pb 0.5119 0.5000 0.2536
! Spin magnetization   2.7 μB/cell

Of them, arrangement b has the highest stability.

Arrangement a

! FeNiPb2 PBE-GGA optimized geometry; values from VASP
&SYSTEM
  ibrav = 0, nat = 4, ntyp = 3
/
ATOMIC_SPECIES
Fe 55.84 Fe.upf
Ni 58.69 Ni.upf
Pb 207.20 Pb.upf
CELL_PARAMETERS angstrom
0.0000 3.3705 3.3705
3.3705 0.0000 3.3705
3.3705 3.3705 0.0000
ATOMIC_POSITIONS crystal
Fe 0.0000 0.0000 0.0000
Ni 0.5000 0.5000 0.5000
Pb 0.2500 0.2500 0.2500
Pb 0.7500 0.7500 0.7500
! Spin magnetization   2.6 μB/cell

Arrangement b

! FeNiPb2 PBE-GGA optimized geometry; values from VASP
&SYSTEM
  ibrav = 0, nat = 4, ntyp = 3
/
ATOMIC_SPECIES
Fe 55.84 Fe.upf
Ni 58.69 Ni.upf
Pb 207.20 Pb.upf
CELL_PARAMETERS angstrom
1.9947 1.1517 6.4680
-1.9947 1.1517 6.4680
0.0000 -2.3033 6.4680
ATOMIC_POSITIONS crystal
Fe 0.0000 0.0000 0.0000
Ni 0.6834 0.6834 0.6834
Pb 0.2452 0.2452 0.2452
Pb 0.4345 0.4345 0.4345
! Spin magnetization   3.0 μB/cell

Of them, arrangement b has the highest stability.